The following is a DFT calculation (PBE) of crystalline LaPr2Mg3CdIn2 at its relaxed geometry.

Calculated values
Its calculated total energy is -29.0 eV per formula unit. Its magnetic moment is 0.0 μB per cell. As for the space-group type: No. 38.

CIF file:
```
data_LaPr2Mg3CdIn2
_space_group_name_H-M_alt 'P 1'
_space_group_IT_number 1
_space_group_name_Hall 'P 1'
_cell_length_a 4.806
_cell_length_b 7.764
_cell_length_c 7.764
_cell_angle_alpha 120.12
_cell_angle_beta 90.00
_cell_angle_gamma 90.00
loop_
_atom_site_label
_atom_site_type_symbol
_atom_site_fract_x
_atom_site_fract_y
_atom_site_fract_z
Cd1 Cd 0.000 0.998 0.998
In1 In 0.500 0.668 0.332
In2 In 0.500 0.332 0.668
La1 La 0.000 0.423 0.423
Mg1 Mg 0.500 0.999 0.239
Mg2 Mg 0.500 0.762 0.762
Mg3 Mg 0.500 0.239 0.999
Pr1 Pr 0.000 0.579 0.000
Pr2 Pr 0.000 0.000 0.579
```